# CoReF3 | the Alexandria database | PBE+U | relaxed
# offset from the most stable computed form = 79.5 meV/atom
data_CoReF3
_chemical_formula_sum 'Co1 Re1 F3'
_cell_length_a 4.2031
_cell_length_b 4.2031
_cell_length_c 4.2031
_cell_angle_alpha 90.00
_cell_angle_beta 90.00
_cell_angle_gamma 90.00
_symmetry_space_group_name_H-M 'P m -3 m'
_symmetry_Int_Tables_number 221
_symmetry_space_group_name_Hall '-P 4 2 3'
loop_
_atom_site_label
_atom_site_type_symbol
_atom_site_fract_x
_atom_site_fract_y
_atom_site_fract_z
_atom_site_occupancy
Co1 Co 0.0000 0.0000 0.0000 1
Re1 Re 0.5000 0.5000 0.5000 1
F1 F 0.0000 0.5000 0.5000 1